No. 1
# RbGe2Cl5 | Alexandria via LeMat-Bulk | GGA-PBE | optimized geometry
data_RbGe2Cl5
_chemical_formula_sum 'Rb2 Ge4 Cl10'
_cell_length_a 3.9542
_cell_length_b 7.2089
_cell_length_c 15.3994
_cell_angle_alpha 90.00
_cell_angle_beta 90.00
_cell_angle_gamma 90.00
_symmetry_space_group_name_H-M 'I m m m'
_symmetry_Int_Tables_number 71
_symmetry_space_group_name_Hall '-I 2 2'
loop_
_atom_site_label
_atom_site_type_symbol
_atom_site_fract_x
_atom_site_fract_y
_atom_site_fract_z
_atom_site_occupancy
Rb1 Rb 0.0000 0.0000 0.0000 1
Ge1 Ge 0.0000 0.5000 0.1625 1
Cl1 Cl 0.0000 0.2534 0.3506 1
Cl2 Cl 0.0000 0.5000 0.0000 1
# Relative energy among the computed polymorphs = 49.8 meV per atom
# Total magnetic moment = 0.000 μB per atom

No. 2
# PrMn2H7 | Alexandria via LeMat-Bulk | GGA-PBE | optimized geometry
data_PrMn2H7
_chemical_formula_sum 'Pr2 Mn4 H14'
_cell_length_a 4.9173
_cell_length_b 9.2265
_cell_length_c 3.5212
_cell_angle_alpha 90.00
_cell_angle_beta 90.00
_cell_angle_gamma 90.00
_symmetry_space_group_name_H-M 'C m m m'
_symmetry_Int_Tables_number 65
_symmetry_space_group_name_Hall '-C 2 2'
loop_
_atom_site_label
_atom_site_type_symbol
_atom_site_fract_x
_atom_site_fract_y
_atom_site_fract_z
_atom_site_occupancy
Pr1 Pr 0.0000 0.0000 0.0000 1
Mn1 Mn 0.0000 0.3168 0.5000 1
H1 H 0.0000 0.3491 0.0000 1
H2 H 0.0000 0.5000 0.5000 1
H3 H 0.1695 0.1508 0.5000 1
# Final energy = -4.806 eV/atom
# Total magnetic moment = 0.480 μB per atom